## i
A plane-wave DFT calculation with GGA-PBE was carried out for an optimized crystal structure of ZnPPd4.

Cell and atoms, written as CIF:
```
data_ZnPPd4
_chemical_formula_sum 'Zn4 P4 Pd16'
_cell_length_a 6.641
_cell_length_b 3.518
_cell_length_c 15.241
_cell_angle_alpha 90.00
_cell_angle_beta 90.00
_cell_angle_gamma 90.00
_symmetry_space_group_name_H-M 'P n m a'
_symmetry_Int_Tables_number 62
loop_
_symmetry_equiv_pos_as_xyz
'x,y,z'
'-x,-y,-z'
'-x+1/2,-y,z+1/2'
'x+1/2,y,-z+1/2'
'x+1/2,-y+1/2,-z+1/2'
'-x+1/2,y+1/2,z+1/2'
'-x,y+1/2,-z'
'x,-y+1/2,z'
loop_
_atom_site_label
_atom_site_type_symbol
_atom_site_fract_x
_atom_site_fract_y
_atom_site_fract_z
Zn1 Zn 0.245 0.250 0.192
P1 P 0.246 0.750 0.440
Pd1 Pd 0.008 0.750 0.568
Pd2 Pd 0.048 0.750 0.286
Pd3 Pd 0.125 0.750 0.852
Pd4 Pd 0.137 0.750 0.050
```

The value obtained for the magnetic moment is 0.00 Bohr magnetons per cell.


## ii
A plane-wave DFT calculation with GGA-PBE was carried out for an optimized crystal structure of ZnPPd4.

Cell and atoms, written as CIF:
```
data_ZnPPd4
_chemical_formula_sum 'Zn4 P4 Pd16'
_cell_length_a 7.334
_cell_length_b 10.774
_cell_length_c 4.867
_cell_angle_alpha 90.00
_cell_angle_beta 110.12
_cell_angle_gamma 90.00
_symmetry_space_group_name_H-M 'C 1 2/c 1'
_symmetry_Int_Tables_number 15
loop_
_symmetry_equiv_pos_as_xyz
'x,y,z'
'-x,-y,-z'
'-x,y,-z+1/2'
'x,-y,z+1/2'
'x+1/2,y+1/2,z'
'-x+1/2,-y+1/2,-z'
'-x+1/2,y+1/2,-z+1/2'
'x+1/2,-y+1/2,z+1/2'
loop_
_atom_site_label
_atom_site_type_symbol
_atom_site_fract_x
_atom_site_fract_y
_atom_site_fract_z
Zn1 Zn 0.000 0.120 0.250
P1 P 0.000 0.494 0.250
Pd1 Pd 0.114 0.320 0.569
Pd2 Pd 0.206 0.084 0.847
```

The value obtained for the magnetic moment is 0.00 Bohr magnetons per cell.


Which is most stable, and by how much? i, by 125 meV/atom.


## i
A plane-wave DFT calculation with GGA-PBE was carried out for an optimized crystal structure of ZnPPd2.

Cell and atoms, written as CIF:
```
data_ZnPPd2
_chemical_formula_sum 'Zn4 P4 Pd8'
_cell_length_a 6.967
_cell_length_b 6.967
_cell_length_c 5.351
_cell_angle_alpha 90.00
_cell_angle_beta 90.00
_cell_angle_gamma 90.00
_symmetry_space_group_name_H-M 'I -4 2 d'
_symmetry_Int_Tables_number 122
_symmetry_space_group_name_Hall 'I -4 2bw'
loop_
_atom_site_label
_atom_site_type_symbol
_atom_site_fract_x
_atom_site_fract_y
_atom_site_fract_z
Zn1 Zn 0.000 0.000 0.000
P1 P 0.000 0.000 0.500
Pd1 Pd 0.196 0.750 0.625
```

The value obtained for the magnetic moment is 0.00 Bohr magnetons per cell.


## ii
A plane-wave DFT calculation with GGA-PBE was carried out for an optimized crystal structure of ZnPPd2.

Cell and atoms, written as CIF:
```
data_ZnPPd2
_chemical_formula_sum 'Zn4 P4 Pd8'
_cell_length_a 6.137
_cell_length_b 6.137
_cell_length_c 6.137
_cell_angle_alpha 90.00
_cell_angle_beta 90.00
_cell_angle_gamma 90.00
_symmetry_space_group_name_H-M 'F m -3 m'
_symmetry_Int_Tables_number 225
_symmetry_space_group_name_Hall '-F 4 2 3'
loop_
_atom_site_label
_atom_site_type_symbol
_atom_site_fract_x
_atom_site_fract_y
_atom_site_fract_z
Zn1 Zn 0.000 0.000 0.000
P1 P 0.000 0.000 0.500
Pd1 Pd 0.250 0.250 0.250
```

The value obtained for the magnetic moment is 0.00 Bohr magnetons per cell.


## iii
A plane-wave DFT calculation with GGA-PBE was carried out for an optimized crystal structure of ZnPPd2.

Cell and atoms, written as CIF:
```
data_ZnPPd2
_chemical_formula_sum 'Zn1 P1 Pd2'
_cell_length_a 3.076
_cell_length_b 3.076
_cell_length_c 6.152
_cell_angle_alpha 90.00
_cell_angle_beta 90.00
_cell_angle_gamma 90.00
_symmetry_space_group_name_H-M 'P 4/m m m'
_symmetry_Int_Tables_number 123
_symmetry_space_group_name_Hall '-P 4 2'
loop_
_atom_site_label
_atom_site_type_symbol
_atom_site_fract_x
_atom_site_fract_y
_atom_site_fract_z
Zn1 Zn 0.000 0.000 0.000
P1 P 0.000 0.000 0.500
Pd1 Pd 0.500 0.500 0.260
```

The value obtained for the magnetic moment is 0.00 Bohr magnetons per cell.


Which is most stable, and by how much? iii, by 42 meV/atom.


## i
A plane-wave DFT calculation with GGA-PBE was carried out for an optimized crystal structure of ZrP2Pd.

Cell and atoms, written as CIF:
```
data_ZrP2Pd
_chemical_formula_sum 'Zr4 P8 Pd4'
_cell_length_a 5.837
_cell_length_b 5.837
_cell_length_c 10.398
_cell_angle_alpha 90.00
_cell_angle_beta 90.00
_cell_angle_gamma 90.00
_symmetry_space_group_name_H-M 'I -4 2 d'
_symmetry_Int_Tables_number 122
_symmetry_space_group_name_Hall 'I -4 2bw'
loop_
_atom_site_label
_atom_site_type_symbol
_atom_site_fract_x
_atom_site_fract_y
_atom_site_fract_z
Zr1 Zr 0.000 0.000 0.000
P1 P 0.222 0.250 0.625
Pd1 Pd 0.000 0.000 0.500
```

The value obtained for the magnetic moment is 0.00 Bohr magnetons per cell.


## ii
A plane-wave DFT calculation with GGA-PBE was carried out for an optimized crystal structure of ZrP2Pd.

Cell and atoms, written as CIF:
```
data_ZrP2Pd
_chemical_formula_sum 'Zr4 P8 Pd4'
_cell_length_a 6.347
_cell_length_b 6.347
_cell_length_c 6.347
_cell_angle_alpha 90.00
_cell_angle_beta 90.00
_cell_angle_gamma 90.00
_symmetry_space_group_name_H-M 'F m -3 m'
_symmetry_Int_Tables_number 225
_symmetry_space_group_name_Hall '-F 4 2 3'
loop_
_atom_site_label
_atom_site_type_symbol
_atom_site_fract_x
_atom_site_fract_y
_atom_site_fract_z
Zr1 Zr 0.000 0.000 0.000
P1 P 0.250 0.250 0.250
Pd1 Pd 0.000 0.000 0.500
```

The value obtained for the magnetic moment is 0.00 Bohr magnetons per cell.


Which is most stable, and by how much? ii, by 176 meV/atom.